Arrangement P

Er2Tm5Sc: optimized geometry, PBE-GGA.

abc: 7.0707 7.0706 6.5303
angles: 105.70 105.70 120.02
Last column: nearest neighbours and their distance in Å.
Fractional positions:
Sc1 0.8196 0.7360 0.9999  2 Er 3.38, 10 Tm 3.42-3.54
Er1 0.2320 0.8171 0.4933  1 Sc 3.38, 9 Tm 3.40-3.55, 2 Er 3.53-3.54
Tm1 0.8177 0.2345 0.0000  4 Er 3.40-3.45, 6 Tm 3.43-3.56, 2 Sc 3.53-3.54
Er2 0.7388 0.3239 0.5067  1 Sc 3.38, 9 Tm 3.40-3.55, 2 Er 3.53-3.54
Tm2 0.2367 0.3189 0.4999  2 Sc 3.42, 6 Tm 3.42-3.53, 4 Er 3.52-3.55
Tm3 0.7368 0.8190 0.5000  2 Sc 3.42, 6 Tm 3.42-3.53, 4 Er 3.52-3.55
Tm4 0.3213 0.7382 0.0001  4 Er 3.40-3.45, 6 Tm 3.43-3.56, 2 Sc 3.53-3.54
Tm5 0.3202 0.2354 0.0000  8 Tm 3.42-3.55, 2 Er 3.44, 2 Sc 3.53

Volume (Å³ per cell): 237.7
SG: Fmm2 (42)



Arrangement Q

Er2Tm5Sc: optimized geometry, PBE-GGA.

abc: 8.7647 8.7647 8.7092
angles: 120.21 120.21 90.00
Last column: nearest neighbours and their distance in Å.
Fractional positions:
Tm1 0.0000 0.0000 0.0000  2 Sc 3.06, 4 Er 3.38
Tm2 0.8181 0.0127 0.3308  3 Tm 3.18-3.38, 3 Er 3.25-3.28, 2 Sc 3.48
Tm3 0.6819 0.1819 0.6692  3 Tm 3.18-3.38, 3 Er 3.25-3.28, 2 Sc 3.48
Tm4 0.9873 0.4873 0.6692  3 Tm 3.18-3.38, 3 Er 3.25-3.28, 2 Sc 3.48
Tm5 0.1819 0.9873 0.6692  3 Tm 3.18-3.38, 3 Er 3.25-3.28, 2 Sc 3.48
Tm6 0.4873 0.6819 0.6692  3 Tm 3.18-3.38, 3 Er 3.25-3.28, 2 Sc 3.48
Er1 0.3579 0.8579 0.0000  8 Tm 3.25-3.38, 1 Er 3.52
Tm7 0.5127 0.3181 0.3308  3 Tm 3.18-3.38, 3 Er 3.25-3.28, 2 Sc 3.48
Er2 0.1421 0.3579 0.0000  8 Tm 3.25-3.38, 1 Er 3.52
Er3 0.6421 0.1421 0.0000  8 Tm 3.25-3.38, 1 Er 3.52
Er4 0.8579 0.6421 0.0000  8 Tm 3.25-3.38, 1 Er 3.52
Tm8 0.5000 0.5000 0.0000  2 Sc 3.06, 4 Er 3.38
Tm9 0.0127 0.5127 0.3308  3 Tm 3.18-3.38, 3 Er 3.25-3.28, 2 Sc 3.48
Sc1 0.7500 0.7500 0.5000  2 Tm 3.06
Sc2 0.2500 0.2500 0.5000  2 Tm 3.06
Tm10 0.3181 0.8181 0.3308  3 Tm 3.18-3.38, 3 Er 3.25-3.28, 2 Sc 3.48

Volume (Å³ per cell): 470.0
SG: I4/mcm (140)



How far above the most stable structure does each one sit? In meV/atom: arrangement P 0; arrangement Q 86.



Arrangement P

Er12TmSc7: optimized geometry, PBE-GGA.

abc: 8.9804 8.9804 8.9804
angles: 108.35 108.35 108.35
Last column: nearest neighbours and their distance in Å.
Fractional positions:
Tm1 0.0000 0.0000 0.0000  6 Sc 3.27, 6 Er 3.49
Sc1 0.8937 0.3148 0.9939  6 Er 3.16-3.53, 3 Sc 3.22-3.45, 1 Tm 3.27
Er1 0.7048 0.5940 0.9309  4 Sc 3.16-3.53, 3 Er 3.23-3.50, 1 Tm 3.49
Sc2 0.3148 0.9939 0.8937  6 Er 3.16-3.53, 3 Sc 3.22-3.45, 1 Tm 3.27
Er2 0.3852 0.1982 0.6746  3 Sc 3.16-3.39, 3 Er 3.23-3.50
Er3 0.4060 0.0691 0.2952  4 Sc 3.16-3.53, 3 Er 3.23-3.50, 1 Tm 3.49
Er4 0.3254 0.6148 0.8018  3 Sc 3.16-3.39, 3 Er 3.23-3.50
Sc3 0.5000 0.5000 0.5000  12 Er 3.40-3.58
Sc4 0.1063 0.6852 0.0061  6 Er 3.16-3.53, 3 Sc 3.22-3.45, 1 Tm 3.27
Sc5 0.9939 0.8937 0.3148  6 Er 3.16-3.53, 3 Sc 3.22-3.45, 1 Tm 3.27
Sc6 0.6852 0.0061 0.1063  6 Er 3.16-3.53, 3 Sc 3.22-3.45, 1 Tm 3.27
Sc7 0.0061 0.1063 0.6852  6 Er 3.16-3.53, 3 Sc 3.22-3.45, 1 Tm 3.27
Er5 0.6148 0.8018 0.3254  3 Sc 3.16-3.39, 3 Er 3.23-3.50
Er6 0.1982 0.6746 0.3852  3 Sc 3.16-3.39, 3 Er 3.23-3.50
Er7 0.2952 0.4060 0.0691  4 Sc 3.16-3.53, 3 Er 3.23-3.50, 1 Tm 3.49
Er8 0.5940 0.9309 0.7048  4 Sc 3.16-3.53, 3 Er 3.23-3.50, 1 Tm 3.49
Er9 0.8018 0.3254 0.6148  3 Sc 3.16-3.39, 3 Er 3.23-3.50
Er10 0.6746 0.3852 0.1982  3 Sc 3.16-3.39, 3 Er 3.23-3.50
Er11 0.0691 0.2952 0.4060  4 Sc 3.16-3.53, 3 Er 3.23-3.50, 1 Tm 3.49
Er12 0.9309 0.7048 0.5940  4 Sc 3.16-3.53, 3 Er 3.23-3.50, 1 Tm 3.49

Volume (Å³ per cell): 579.4
SG: R-3 (148)



Arrangement Q

Er12TmSc7: optimized geometry, PBE-GGA.

abc: 9.4023 9.4023 9.4023
angles: 109.47 109.47 109.47
Last column: nearest neighbours and their distance in Å.
Fractional positions:
Sc1 0.0000 0.5000 0.0000  6 Er 2.72
Er1 0.2568 0.7438 0.0006  2 Sc 2.72
Er2 0.4869 0.7432 0.7438  2 Sc 2.72
Er3 0.2562 0.5131 0.2568  2 Sc 2.72
Er4 0.7438 0.4869 0.7432  2 Sc 2.72
Sc2 0.5000 0.0000 0.5000  12 Er 3.74-3.84
Sc3 0.5000 0.5000 0.0000  12 Er 3.74-3.84
Sc4 0.0000 0.0000 0.5000  6 Er 2.72
Sc5 0.5000 0.0000 0.0000  6 Er 2.72
Er5 0.7432 0.2562 0.9994  2 Sc 2.72
Tm1 0.0000 0.0000 0.0000  12 Er 3.94
Sc6 0.5000 0.5000 0.5000  6 Er 2.72
Er6 0.9994 0.7432 0.2562  2 Sc 2.72
Er7 0.0006 0.2568 0.7438  2 Sc 2.72
Sc7 0.0000 0.5000 0.5000  12 Er 3.74-3.84
Er8 0.2562 0.9994 0.7432  2 Sc 2.72
Er9 0.2568 0.2562 0.5131  2 Sc 2.72
Er10 0.7432 0.7438 0.4869  2 Sc 2.72
Er11 0.5131 0.2568 0.2562  2 Sc 2.72
Er12 0.7438 0.0006 0.2568  2 Sc 2.72

Volume (Å³ per cell): 639.8
SG: Im-3m (229)



How far above the most stable structure does each one sit? In meV/atom: arrangement P 0; arrangement Q 527.



Arrangement P

ErTm4Sc: optimized geometry, PBE-GGA.

abc: 3.5301 5.4620 9.3246
angles: 89.99 100.91 90.00
Last column: nearest neighbours and their distance in Å.
Fractional positions:
Tm1 0.2829 0.0028 0.8117  2 Sc 3.37, 8 Tm 3.40-3.53, 2 Er 3.56
Tm2 0.7280 0.5028 0.7016  8 Tm 3.40-3.60, 2 Er 3.44, 2 Sc 3.47
Sc1 0.3916 0.5028 0.0281  10 Tm 3.37-3.51, 2 Sc 3.53
Er1 0.6137 0.0026 0.4734  10 Tm 3.42-3.56, 2 Er 3.53
Tm3 0.0565 0.5026 0.3592  6 Tm 3.40-3.60, 4 Er 3.42, 2 Sc 3.51
Tm4 0.9462 0.0027 0.1372  4 Sc 3.40, 6 Tm 3.40-3.53, 2 Er 3.55

Volume (Å³ per cell): 176.5
SG: Amm2 (38)



Arrangement Q

ErTm4Sc: optimized geometry, PBE-GGA.

abc: 6.1982 8.7266 8.3468
angles: 112.72 100.32 111.57
Last column: nearest neighbours and their distance in Å.
Fractional positions:
Tm1 0.3647 0.9028 0.6133  2 Sc 3.24-3.28, 6 Tm 3.27-3.57, 2 Er 3.55-3.61
Tm2 0.9560 0.8322 0.2491  4 Tm 3.27-3.57, 2 Sc 3.30-3.40, 2 Er 3.43-3.47
Tm3 0.2069 0.5830 0.7509  4 Tm 3.27-3.57, 2 Sc 3.30-3.40, 2 Er 3.43-3.47
Tm4 0.7486 0.7106 0.6133  2 Sc 3.24-3.28, 6 Tm 3.27-3.57, 2 Er 3.55-3.61
Er1 0.3377 0.5877 0.1754  10 Tm 3.43-3.71
Sc1 0.7502 0.0002 0.0003  2 Sc 3.10, 8 Tm 3.24-3.40
Er2 0.6623 0.4123 0.8246  10 Tm 3.43-3.71
Tm5 0.6353 0.0972 0.3867  2 Sc 3.24-3.28, 6 Tm 3.27-3.57, 2 Er 3.55-3.61
Tm6 0.0440 0.1678 0.7509  4 Tm 3.27-3.57, 2 Sc 3.30-3.40, 2 Er 3.43-3.47
Sc2 0.2498 0.9998 0.9997  2 Sc 3.10, 8 Tm 3.24-3.40
Tm7 0.7931 0.4170 0.2491  4 Tm 3.27-3.57, 2 Sc 3.30-3.40, 2 Er 3.43-3.47
Tm8 0.2514 0.2894 0.3867  2 Sc 3.24-3.28, 6 Tm 3.27-3.57, 2 Er 3.55-3.61

Volume (Å³ per cell): 359.1
SG: C2/c (15)



How far above the most stable structure does each one sit? In meV/atom: arrangement P 0; arrangement Q 141.